Computed, not measured: Mg5Re after structural relaxation at the GGA-PBE level of DFT. Values from VASP.

electronic total energy: -3.154 eV/atom
space-group type: No. 65
E above lowest polymorph: 0.040 eV/atom

The structure in Quantum ESPRESSO input format:
```
&SYSTEM
  ibrav = 0, nat = 6, ntyp = 2
/
ATOMIC_SPECIES
Re 186.21 Re.upf
Mg 24.30 Mg.upf
ATOMIC_POSITIONS crystal
Re 0.500 0.500 0.000
Mg 0.846 0.154 0.000
Mg 0.000 0.000 0.500
Mg 0.654 0.346 0.500
Mg 0.154 0.846 0.000
Mg 0.346 0.654 0.500
CELL_PARAMETERS angstrom
2.133 -6.375 0.000
2.133 6.375 0.000
0.000 0.000 4.290
```